# 1
VASP calculation (PBE) on La2InOs after structural relaxation.

Computed properties:
* formation energy from the elements: -106 meV/atom
* size of the total moment: 0.0 μB per formula unit
* energy: -6.062 eV per atom

a b c (Å): 4.7641 4.1449 6.1336
angles (deg): 70.36 90.00 90.00
Last column: nearest neighbours and their distance in Å.
Fractional positions:
La (0.5000, 0.2651, 0.3428)  3 In 3.20-3.34, 4 Os 3.30-3.31
La (0.0000, 0.9971, 0.8821)  2 Os 2.98, 4 In 3.23
In (0.5000, 0.5555, 0.7642)  2 Os 2.80
Os (0.0000, 0.6823, 0.5109)  2 In 2.80, 2 La 2.98

***

# 2
VASP calculation (PBE) on Tm3Tl3InS8 after structural relaxation.

Computed properties:
* size of the total moment: 0.0 μB per formula unit
* ΔE_f (raw): -1223 meV per atom
* energy: -4.974 eV per atom

a b c (Å): 7.8928 7.8940 8.6427
angles (deg): 117.19 90.00 120.00
Last column: nearest neighbours and their distance in Å.
Fractional positions:
S (0.7691, 0.0325, 0.3017)  1 In 2.68, 2 Tm 2.71-2.72
S (0.7366, 0.9675, 0.6983)  1 In 2.68, 2 Tm 2.71-2.72
S (0.7333, 0.4667, 0.6999)  3 Tm 2.71
S (0.2667, 0.5333, 0.3001)  3 Tm 2.71
S (0.2309, 0.9675, 0.6983)  1 In 2.68, 2 Tm 2.71-2.72
S (0.2307, 0.4615, 0.6980)  1 In 2.68, 2 Tm 2.71
S (0.7693, 0.5385, 0.3020)  1 In 2.68, 2 Tm 2.71
S (0.2634, 0.0325, 0.3017)  1 In 2.68, 2 Tm 2.71-2.72
In (0.0000, 0.0000, 0.5000)  6 S 2.68
Tl (0.0000, 0.5000, 0.0000)  6 S 3.17
Tl (0.0000, 0.0000, 0.0000)  6 S 3.17
Tl (0.5000, 0.5000, 0.0000)  6 S 3.17
Tm (0.0000, 0.5000, 0.5000)  6 S 2.71-2.72
Tm (0.5000, 0.5000, 0.5000)  6 S 2.71-2.72
Tm (0.5000, 0.0000, 0.5000)  6 S 2.71